w:
Tb3Y4Er8 | GGA-PBE | optimized geometry

Values from the calculation:
**N(E_F)**: 23.018 states/eV/f.u.
**Space group**: R-3m, No. 166
**Crystal system**: trigonal

Cell lengths 6.8895, 6.8895, 12.3543 Å; angles 73.81, 73.81, 60.00 degrees
Sites, in units of the cell vectors:
Tb: 0.5000 0.0000 0.5000
Tb: 0.0000 0.0000 0.5000
Tb: 0.0000 0.5000 0.5000
Y: 0.0000 0.0000 0.0000
Y: 0.3362 0.3362 0.9915
Y: 0.5000 0.5000 0.5000
Y: 0.6638 0.6638 0.0085
Er: 0.2448 0.2448 0.2657
Er: 0.2479 0.7506 0.2509
Er: 0.7506 0.7506 0.2509
Er: 0.7506 0.2479 0.2509
Er: 0.7552 0.7552 0.7343
Er: 0.7521 0.2494 0.7491
Er: 0.2494 0.2494 0.7491
Er: 0.2494 0.7521 0.7491

---

x:
Tb3Y4Er8 | GGA-PBE | optimized geometry

Values from the calculation:
**N(E_F)**: 30.290 states/eV/f.u.
**Space group**: C2/m, No. 12
**Crystal system**: monoclinic

Cell lengths 6.7064, 9.2165, 9.2165 Å; angles 87.72, 111.26, 111.26 degrees
Sites, in units of the cell vectors:
Tb: 0.5000 0.5000 0.0000
Tb: 0.5000 0.0000 0.5000
Tb: 0.5000 0.5000 0.5000
Y: 0.5000 0.0000 0.0000
Y: 0.0000 0.5000 0.0000
Y: 0.0000 0.0000 0.0000
Y: 0.0000 0.0000 0.5000
Er: 0.5354 0.2696 0.2696
Er: 0.0000 0.6392 0.3608
Er: 0.0123 0.2683 0.2683
Er: 0.5000 0.7459 0.2541
Er: 0.5000 0.2541 0.7459
Er: 0.9877 0.7317 0.7317
Er: 0.0000 0.3608 0.6392
Er: 0.4646 0.7304 0.7304

---

Here are the energies relative to the best structure, in meV/atom: w 0; x 266.